(1)
Entry from Alexandria: crystalline Ac2TmSn3Pd4 at its relaxed geometry (PBE-GGA).

a = 4.7044 Å, b = 4.7044 Å, c = 11.0754 Å
α = 90.00°, β = 90.00°, γ = 90.00°
Atoms (fractional coordinates):
Pd: 0.0000 0.0000 0.0000
Pd: 0.5000 0.5000 0.0000
Sn: 0.0000 0.5000 0.1217
Pd: 0.0000 0.5000 0.3616
Sn: 0.0000 0.0000 0.5000
Sn: 0.5000 0.0000 0.8783
Pd: 0.5000 0.0000 0.6384
Ac: 0.5000 0.0000 0.2305
Tm: 0.5000 0.5000 0.5000
Ac: 0.0000 0.5000 0.7695

E_form in eV per atom: -0.8546

=====

(2)
Entry from Alexandria: crystalline Y2LuFe at its relaxed geometry (PBE-GGA).

a = 3.3589 Å, b = 3.3589 Å, c = 11.1729 Å
α = 81.35°, β = 81.35°, γ = 60.00°
Atoms (fractional coordinates):
Fe: 0.0000 0.0000 0.0000
Y: 0.0799 0.0799 0.7603
Y: 0.9201 0.9201 0.2397
Lu: 0.5000 0.5000 0.5000

Polymorph energy (0 for the lowest one) in eV/atom: 0.482
E_form in eV per atom: 0.5954

=====

(3)
Entry from Alexandria: crystalline Li2CoRh at its relaxed geometry (PBE-GGA).

a = 4.1662 Å, b = 3.5129 Å, c = 3.5129 Å
α = 90.00°, β = 90.00°, γ = 90.00°
Atoms (fractional coordinates):
Li: 0.0000 0.5000 0.5000
Co: 0.5000 0.0000 0.5000
Li: 0.0000 0.0000 0.0000
Rh: 0.5000 0.5000 0.0000

Polymorph energy (0 for the lowest one) in eV/atom: 0.075
E_form in eV per atom: 0.0390

=====

(4)
Entry from Alexandria: crystalline Pm2NdZrN4 at its relaxed geometry (PBE-GGA).

a = 3.5114 Å, b = 6.1135 Å, c = 6.1006 Å
α = 109.14°, β = 90.00°, γ = 90.00°
Atoms (fractional coordinates):
N: 0.0000 0.7660 0.2377
N: 0.5000 0.2285 0.2303
N: 0.0000 0.2340 0.7623
Zr: 0.0000 0.0000 0.0000
Pm: 0.5000 0.0000 0.5000
N: 0.5000 0.7715 0.7697
Pm: 0.0000 0.5000 0.5000
Nd: 0.5000 0.5000 0.0000

Formation energy (no corrections) in eV per atom: -1.475

=====

(5)
Entry from Alexandria: crystalline MnVTc2Pd at its relaxed geometry (PBE-GGA).

a = 4.7093 Å, b = 4.4681 Å, c = 4.7093 Å
α = 90.00°, β = 90.00°, γ = 90.00°
Atoms (fractional coordinates):
V: 0.0000 0.5000 0.0000
Pd: 0.0000 0.0000 0.0000
Mn: 0.5000 0.5000 0.5000
Tc: 0.0000 0.0000 0.5000
Tc: 0.5000 0.0000 0.0000

E_form in eV per atom: 2.2384

=====

(6)
Entry from Alexandria: crystalline K2ZrAuS4 at its relaxed geometry (PBE-GGA).

a = 6.6309 Å, b = 6.6309 Å, c = 6.6309 Å
α = 104.75°, β = 111.88°, γ = 111.88°
Atoms (fractional coordinates):
S: 0.8832 0.5748 0.1380
S: 0.4368 0.8620 0.7452
Zr: 0.5000 0.2500 0.7500
K: 0.0000 0.0000 0.0000
Au: 0.0000 0.5000 0.5000
S: 0.5632 0.3084 0.4252
K: 0.5000 0.7500 0.2500
S: 0.1168 0.2548 0.6916

Formation energy (no corrections) in eV per atom: -0.984

=====

(7)
Entry from Alexandria: crystalline HgPdPb at its relaxed geometry (PBE-GGA).

a = 4.7484 Å, b = 4.7471 Å, c = 6.5496 Å
α = 90.01°, β = 90.00°, γ = 90.00°
Atoms (fractional coordinates):
Pd: 0.7724 0.5986 0.4864
Hg: 0.7726 0.0986 0.7365
Pb: 0.2724 0.5986 0.7365
Pd: 0.7724 0.5986 0.9864
Pb: 0.7722 0.0985 0.2365
Hg: 0.2724 0.5985 0.2364

Polymorph energy (0 for the lowest one) in eV/atom: 0.064
E_form in eV per atom: -0.0876

=====

(8)
Entry from Alexandria: crystalline Cs3Pr2NpSe6 at its relaxed geometry (PBE-GGA).

a = 7.6409 Å, b = 7.6409 Å, c = 8.7722 Å
α = 98.32°, β = 98.32°, γ = 119.97°
Atoms (fractional coordinates):
Se: 0.2638 0.2638 0.8092
Se: 0.9364 0.6093 0.8105
Se: 0.0636 0.3907 0.1895
Pr: 0.6659 0.3341 0.0000
Pr: 0.3341 0.6659 0.0000
Cs: 0.5000 0.5000 0.5000
Se: 0.7362 0.7362 0.1908
Cs: 0.1687 0.8313 0.5000
Np: 0.0000 0.0000 0.0000
Cs: 0.8313 0.1687 0.5000
Se: 0.3907 0.0636 0.1895
Se: 0.6093 0.9364 0.8105

Formation energy (no corrections) in eV per atom: -1.551

=====

Respective DOS at the Fermi energy values: 6.27; 5.86; 3.56; 1.11; 10.59; 3.50; 3.97; 6.57 states/eV/cell.